VASP calculation (PBE-GGA) on Be2CrOs after structural relaxation.

Values from the calculation:
For the energy relative to the lowest polymorph listed for this composition, the calculation gives 0.07 eV per formula unit. Its calculated density is 10.4 Mg/m³. Its energy is -7.185 eV/atom.

Lattice parameters (Å, degrees): 3.4865 4.5093 4.5093 35.92 90.00 90.00
Element x y z (fractional)
Be (0.0000, 0.0000, 0.0000)
Be (0.5000, 0.1313, 0.1313)
Cr (0.0000, 0.7290, 0.7290)
Os (0.5000, 0.4028, 0.4028)

---

VASP calculation (PBE-GGA) on BeCrOs after structural relaxation.

Values from the calculation:
For the energy relative to the lowest polymorph listed for this composition, the calculation gives 0.44 eV per formula unit. Its calculated density is 12.5 Mg/m³. Its energy is -8.240 eV/atom.

Lattice parameters (Å, degrees): 4.5868 4.5868 4.5868 121.92 120.42 87.99
Element x y z (fractional)
Be (0.0000, 0.0000, 0.0000)
Be (0.5000, 0.0000, 0.5000)
Cr (0.5000, 0.0000, 0.0000)
Cr (0.5000, 0.5000, 0.5000)
Os (0.1286, 0.3786, 0.7500)
Os (0.8714, 0.6214, 0.2500)

---

VASP calculation (PBE-GGA) on BeCrOs2 after structural relaxation.

Values from the calculation:
Its calculated density is 14.6 Mg/m³. Its energy is -8.902 eV/atom.

Lattice parameters (Å, degrees): 2.6939 3.7797 4.9300 90.00 90.15 90.00
Element x y z (fractional)
Be (0.0000, 0.0000, 0.0000)
Cr (0.5007, 0.5000, 0.2348)
Os (0.4993, 0.5000, 0.7758)
Os (0.9988, 0.0000, 0.4896)

---

VASP calculation (PBE-GGA) on Be2CrOs after structural relaxation.

Values from the calculation:
For the energy relative to the lowest polymorph listed for this composition, the calculation gives 0.81 eV per formula unit. Its calculated density is 9.8 Mg/m³. Its energy is -7.000 eV/atom.

Lattice parameters (Å, degrees): 2.5138 3.7318 4.8103 90.00 102.12 90.00
Element x y z (fractional)
Be (0.2297, 0.0000, 0.2427)
Be (0.7703, 0.0000, 0.7573)
Cr (0.5000, 0.5000, 0.0000)
Os (0.0000, 0.5000, 0.5000)

---

The evaluated calculated formation energy for the records listed, in turn: -108 -47 50 76 meV/atom.